# 1
This record from Alexandria via LeMat-Bulk describes a relaxed LiRePb2O6 crystal. The functional is PBE.

Calculated values
**Formation energy (no corrections)**: -1.50 eV per atom
**V**: 265.52 Å³/cell
**SG**: No. 14
**Crystal system**: monoclinic

a = 5.7174 Å, b = 5.7804 Å, c = 9.8534 Å
α = 90.00°, β = 125.38°, γ = 90.00°
Sites, in units of the cell vectors:
Li  0.0000  0.0000  0.0000
Li  0.0000  0.5000  0.5000
Re  0.5000  0.0000  0.5000
Re  0.5000  0.5000  0.0000
Pb  0.2418  0.0393  0.7471
Pb  0.2418  0.4607  0.2471
Pb  0.7582  0.5393  0.7529
Pb  0.7582  0.9607  0.2529
O  0.1997  0.1955  0.4655
O  0.1997  0.3045  0.9655
O  0.2677  0.7345  0.4588
O  0.2677  0.7655  0.9588
O  0.3406  0.0210  0.2677
O  0.3406  0.4790  0.7677
O  0.6594  0.5210  0.2323
O  0.6594  0.9790  0.7323
O  0.7323  0.2345  0.0412
O  0.7323  0.2655  0.5412
O  0.8003  0.6955  0.0345
O  0.8003  0.8045  0.5345

***

# 2
This record from Alexandria via LeMat-Bulk describes a relaxed Li2RePbO6 crystal. The functional is PBE.

Calculated values
**Formation energy (no corrections)**: -1.57 eV per atom
**V**: 349.50 Å³/cell
**SG**: No. 15
**Crystal system**: monoclinic

a = 8.0796 Å, b = 8.0796 Å, c = 5.8502 Å
α = 97.81°, β = 97.81°, γ = 109.66°
Sites, in units of the cell vectors:
Li  0.1696  0.3267  0.1851
Li  0.3267  0.1696  0.6851
Li  0.6733  0.8304  0.3149
Li  0.8304  0.6733  0.8149
Re  0.2051  0.7949  0.2500
Re  0.7949  0.2051  0.7500
Pb  0.4306  0.5694  0.7500
Pb  0.5694  0.4306  0.2500
O  0.0762  0.8183  0.9990
O  0.1343  0.5693  0.2784
O  0.1817  0.9238  0.5010
O  0.3355  0.3533  0.9588
O  0.3533  0.3355  0.4588
O  0.4307  0.8657  0.2216
O  0.5693  0.1343  0.7784
O  0.6467  0.6645  0.5412
O  0.6645  0.6467  0.0412
O  0.8183  0.0762  0.4990
O  0.8657  0.4307  0.7216
O  0.9238  0.1817  0.0010

***

# 3
This record from Alexandria via LeMat-Bulk describes a relaxed LiRhPbO3 crystal. The functional is PBE.

Calculated values
**Formation energy (no corrections)**: -1.02 eV per atom
**V**: 149.88 Å³/cell
**SG**: No. 11
**Crystal system**: monoclinic

a = 6.5979 Å, b = 3.3289 Å, c = 7.1436 Å
α = 90.00°, β = 107.21°, γ = 90.00°
Sites, in units of the cell vectors:
Li  0.1018  0.2500  0.0994
Li  0.8982  0.7500  0.9006
Rh  0.3292  0.7500  0.3458
Rh  0.6708  0.2500  0.6542
Pb  0.2195  0.2500  0.7512
Pb  0.7805  0.7500  0.2488
O  0.1374  0.2500  0.3736
O  0.2057  0.7500  0.0350
O  0.4698  0.7500  0.6486
O  0.5302  0.2500  0.3514
O  0.7943  0.2500  0.9650
O  0.8626  0.7500  0.6264

***

# 4
This record from Alexandria via LeMat-Bulk describes a relaxed Li2RhPb3O6 crystal. The functional is PBE.

Calculated values
**Formation energy (no corrections)**: -1.07 eV per atom
**V**: 171.47 Å³/cell
**SG**: No. 12
**Crystal system**: monoclinic

a = 5.9855 Å, b = 5.9855 Å, c = 5.7553 Å
α = 96.05°, β = 96.05°, γ = 121.60°
Sites, in units of the cell vectors:
Li  0.2120  0.7880  0.0000
Li  0.7880  0.2120  0.0000
Rh  0.5000  0.5000  0.0000
Pb  0.0000  0.0000  0.5000
Pb  0.3283  0.6717  0.5000
Pb  0.6717  0.3283  0.5000
O  0.1419  0.4195  0.8210
O  0.3207  0.3207  0.2760
O  0.4195  0.1419  0.8210
O  0.5805  0.8581  0.1790
O  0.6793  0.6793  0.7240
O  0.8581  0.5805  0.1790

***

# 5
This record from Alexandria via LeMat-Bulk describes a relaxed LiRhPb2O4 crystal. The functional is PBE.

Calculated values
**Formation energy (no corrections)**: -0.85 eV per atom
**V**: 311.90 Å³/cell
**SG**: No. 70
**Crystal system**: orthorhombic

a = 11.3208 Å, b = 10.0601 Å, c = 6.4817 Å
α = 83.37°, β = 61.97°, γ = 34.66°
Sites, in units of the cell vectors:
Li  0.1250  0.1250  0.1250
Li  0.8750  0.8750  0.8750
Rh  0.3750  0.3750  0.3750
Rh  0.6250  0.6250  0.6250
Pb  0.1890  0.1890  0.5610
Pb  0.4390  0.4390  0.8110
Pb  0.5610  0.5610  0.1890
Pb  0.8110  0.8110  0.4390
O  0.0295  0.7567  0.4822
O  0.2316  0.4822  0.7567
O  0.2433  0.9705  0.7684
O  0.4822  0.2316  0.0295
O  0.5178  0.7684  0.9705
O  0.7567  0.0295  0.2316
O  0.7684  0.5178  0.2433
O  0.9705  0.2433  0.5178

***

# 6
This record from Alexandria via LeMat-Bulk describes a relaxed LiRh2Pb2O6 crystal. The functional is PBE.

Calculated values
**Formation energy (no corrections)**: -0.92 eV per atom
**V**: 150.66 Å³/cell
**SG**: No. 12
**Crystal system**: monoclinic

a = 5.6240 Å, b = 5.6240 Å, c = 5.8780 Å
α = 97.90°, β = 97.90°, γ = 122.29°
Sites, in units of the cell vectors:
Li  0.0000  0.0000  0.0000
Rh  0.3383  0.6617  0.0000
Rh  0.6617  0.3383  0.0000
Pb  0.1570  0.8430  0.5000
Pb  0.8430  0.1570  0.5000
O  0.0510  0.4230  0.1969
O  0.2834  0.2834  0.8274
O  0.4230  0.0510  0.1969
O  0.5770  0.9490  0.8031
O  0.7166  0.7166  0.1726
O  0.9490  0.5770  0.8031

***

# 7
This record from Alexandria via LeMat-Bulk describes a relaxed LiRhPb2O6 crystal. The functional is PBE.

Calculated values
**Formation energy (no corrections)**: -1.06 eV per atom
**V**: 247.71 Å³/cell
**SG**: No. 14
**Crystal system**: monoclinic

a = 5.4034 Å, b = 5.5213 Å, c = 9.7384 Å
α = 90.00°, β = 121.50°, γ = 90.00°
Sites, in units of the cell vectors:
Li  0.0000  0.0000  0.0000
Li  0.0000  0.5000  0.5000
Rh  0.5000  0.0000  0.5000
Rh  0.5000  0.5000  0.0000
Pb  0.2069  0.0529  0.7406
Pb  0.2069  0.4471  0.2406
Pb  0.7931  0.5529  0.7594
Pb  0.7931  0.9471  0.2594
O  0.1508  0.2053  0.4352
O  0.1508  0.2947  0.9352
O  0.2249  0.7188  0.4206
O  0.2249  0.7812  0.9206
O  0.4095  0.0667  0.2750
O  0.4095  0.4333  0.7750
O  0.5905  0.5667  0.2250
O  0.5905  0.9333  0.7250
O  0.7751  0.2188  0.0794
O  0.7751  0.2812  0.5794
O  0.8492  0.7053  0.0648
O  0.8492  0.7947  0.5648

***

# 8
This record from Alexandria via LeMat-Bulk describes a relaxed Li2Rh2PbO6 crystal. The functional is PBE.

Calculated values
**Formation energy (no corrections)**: -1.14 eV per atom
**V**: 135.77 Å³/cell
**SG**: No. 12
**Crystal system**: monoclinic

a = 5.6033 Å, b = 5.6033 Å, c = 5.1208 Å
α = 94.61°, β = 94.61°, γ = 121.13°
Sites, in units of the cell vectors:
Li  0.2432  0.7568  0.0000
Li  0.7568  0.2432  0.0000
Rh  0.1639  0.8361  0.5000
Rh  0.8361  0.1639  0.5000
Pb  0.5000  0.5000  0.5000
O  0.1067  0.4737  0.2846
O  0.1722  0.1722  0.7044
O  0.4737  0.1067  0.2846
O  0.5263  0.8933  0.7154
O  0.8278  0.8278  0.2956
O  0.8933  0.5263  0.7154

***

Look up the V of the eighth one.
135.77 Å³/cell

***

Number 4 is which compound?
Li2RhPb3O6